(1)
{"formula": "LiLa2Sc", "functional": "PBE", "state": "optimized geometry", "formation_enthalpy_0k_ev_per_atom": 0.1320, "lattice_angstrom": [[5.3919, 0.0000, 0.0000], [0.0000, 3.5043, 0.0000], [0.0000, 0.0000, 12.7219]], "species": ["Li", "Li", "La", "La", "La", "La", "Sc", "Sc"], "fractional_positions": [[0.0000, 0.0000, 0.0000], [0.0000, 0.5000, 0.5000], [0.0000, 0.0000, 0.7268], [0.0000, 0.5000, 0.2268], [0.5000, 0.0000, 0.3975], [0.5000, 0.5000, 0.8975], [0.5000, 0.0000, 0.1296], [0.5000, 0.5000, 0.6296]]}



(2)
{"formula": "RbPaCdO4", "functional": "PBE", "state": "optimized geometry", "formation_energy_uncorrected_ev_per_atom": -2.40, "lattice_angstrom": [[-3.5004, 3.5823, 5.3518], [3.5004, -3.5823, 5.3518], [3.5004, 3.5823, -5.3518]], "species": ["Rb", "Rb", "Pa", "Pa", "Cd", "Cd", "O", "O", "O", "O", "O", "O", "O", "O"], "fractional_positions": [[0.3996, 0.1496, 0.2500], [0.6004, 0.8504, 0.7500], [0.0000, 0.5000, 0.5000], [0.5000, 0.5000, 0.0000], [0.0000, 0.0000, 0.5000], [0.0000, 0.5000, 0.0000], [0.1520, 0.7001, 0.4520], [0.2519, 0.2999, 0.9520], [0.2560, 0.3175, 0.5614], [0.2560, 0.6946, 0.9386], [0.7440, 0.3054, 0.0614], [0.7440, 0.6825, 0.4386], [0.7481, 0.7001, 0.0480], [0.8480, 0.2999, 0.5480]]}



(3)
{"formula": "LaTh2Rh", "functional": "PBE", "state": "optimized geometry", "formation_enthalpy_0k_ev_per_atom": -0.1336, "lattice_angstrom": [[3.8017, 0.0000, 0.0000], [-1.9009, 3.2924, 0.0000], [0.0000, 0.0000, 31.1655]], "species": ["La", "La", "La", "Th", "Th", "Th", "Th", "Th", "Th", "Rh", "Rh", "Rh"], "fractional_positions": [[0.0000, 0.0000, 0.0000], [0.3333, 0.6667, 0.6667], [0.6667, 0.3333, 0.3333], [0.0000, 0.0000, 0.1094], [0.0000, 0.0000, 0.8906], [0.3333, 0.6667, 0.5572], [0.3333, 0.6667, 0.7761], [0.6667, 0.3333, 0.2239], [0.6667, 0.3333, 0.4428], [0.0000, 0.0000, 0.5000], [0.3333, 0.6667, 0.1667], [0.6667, 0.3333, 0.8333]]}



| no. | final energy (eV per atom) |
| --- | --- |
| 1 | -4.39 |
| 2 | -6.85 |
| 3 | -6.91 |